Record 1
The following is a GGA-PBE calculation of a relaxed structure of PmMg3, from Alexandria via LeMat-Bulk.

POSCAR file:
```
PmMg3
1.0
6.7923 0.0000 0.0000
-3.3962 5.8823 0.0000
0.0000 0.0000 5.2109
Mg Pm
6 2
Cartesian
5.1391 0.9545 3.9082
1.6532 0.9545 3.9082
1.7430 4.9279 1.3027
-1.7430 4.9279 1.3027
3.3962 3.9734 3.9082
0.0000 1.9090 1.3027
0.0000 3.9216 3.9082
3.3962 1.9608 1.3027
```

## Properties
magnetic moment: 0.0 μB per cell
formation energy from the elements: -0.097 eV per atom



Record 2
The following is a GGA-PBE calculation of a relaxed structure of PmMg3, from Alexandria via LeMat-Bulk.

POSCAR file:
```
PmMg3
1.0
-0.5738 2.9273 1.5815
0.2161 -1.4942 2.8441
9.9637 1.8399 0.2095
Pm Mg
1 3
Cartesian
9.6605 1.7839 0.2031
6.5044 2.7177 0.9336
4.7846 0.1165 1.5204
1.9415 1.1080 2.2574
```

## Properties
magnetic moment: 0.0 μB per cell
formation energy from the elements: 0.139 eV per atom



Record 3
The following is a GGA-PBE calculation of a relaxed structure of Pm5Mg, from Alexandria via LeMat-Bulk.

POSCAR file:
```
Pm5Mg
1.0
-1.1858 3.3544 1.4844
-2.5906 -2.7918 4.2391
8.8108 1.8792 2.7916
Pm Mg
5 1
Cartesian
-1.8882 0.2813 2.8618
3.4373 0.6238 6.3419
4.8005 0.3087 3.1370
1.4197 -1.2213 3.8938
1.5971 1.8180 2.1733
0.0000 0.0000 0.0000
```

## Properties
magnetic moment: 0.0 μB per cell
formation energy from the elements: 0.004 eV per atom
excess energy over the best structure of this formula in the dataset: 0.17 eV/f.u.



Record 4
The following is a GGA-PBE calculation of a relaxed structure of Pm2Mg, from Alexandria via LeMat-Bulk.

POSCAR file:
```
Pm2Mg
1.0
-1.0839 -0.2034 3.5784
-8.1261 -1.6611 -2.5557
3.7090 -5.0673 -1.1238
Mg Pm
2 4
Cartesian
0.0390 -2.1515 1.8487
-5.5399 -4.7802 -1.9497
-4.3658 -2.7573 0.4801
-1.1351 -4.1744 -0.5811
-1.7157 -0.5092 -0.5486
-3.7853 -6.4225 0.4476
```

## Properties
magnetic moment: 0.0 μB per cell
formation energy from the elements: -0.024 eV per atom
excess energy over the best structure of this formula in the dataset: 0.11 eV/f.u.



Record 5
The following is a GGA-PBE calculation of a relaxed structure of Pm3Mg, from Alexandria via LeMat-Bulk.

POSCAR file:
```
Pm3Mg
1.0
5.6359 0.0000 0.0000
2.8180 4.8809 0.0000
2.8180 1.6270 4.6017
Pm Mg
3 1
Cartesian
8.4539 4.8809 3.4513
0.0000 0.0000 0.0000
2.8180 1.6270 1.1504
5.6359 3.2539 2.3009
```

## Properties
magnetic moment: 0.0 μB per cell
formation energy from the elements: 0.054 eV per atom
excess energy over the best structure of this formula in the dataset: 0.29 eV/f.u.



Record 6
The following is a GGA-PBE calculation of a relaxed structure of PmMg6, from Alexandria via LeMat-Bulk.

POSCAR file:
```
PmMg6
1.0
-1.4699 5.2207 -3.4533
-5.2221 -3.6996 0.6202
2.0613 1.7911 5.8210
Mg Pm
6 1
Cartesian
-3.1981 2.5135 -0.8246
-0.4944 3.0288 2.7942
-3.2533 -0.5739 2.5123
-1.4325 0.7987 3.8125
-4.1361 0.2835 0.1938
-1.3772 3.8862 0.4756
0.0000 0.0000 0.0000
```

## Properties
magnetic moment: 0.0 μB per cell
formation energy from the elements: 0.701 eV per atom
excess energy over the best structure of this formula in the dataset: 5.08 eV/f.u.



Record 7
The following is a GGA-PBE calculation of a relaxed structure of Pm3Mg, from Alexandria via LeMat-Bulk.

POSCAR file:
```
Pm3Mg
1.0
-0.1751 6.0903 -0.7786
-2.8651 2.6347 4.7517
4.5990 -4.0552 -0.2971
Pm Mg
3 1
Cartesian
-1.5201 4.3625 1.9865
0.1069 1.4710 3.2205
1.4518 3.1987 0.4555
0.0000 0.0000 0.0000
```

## Properties
magnetic moment: 0.0 μB per cell
formation energy from the elements: -0.002 eV per atom
excess energy over the best structure of this formula in the dataset: 0.06 eV/f.u.



Record 8
The following is a GGA-PBE calculation of a relaxed structure of PmMg12, from Alexandria via LeMat-Bulk.

POSCAR file:
```
PmMg12
1.0
6.0001 0.0000 0.0000
3.0000 7.2188 0.0000
3.0000 0.0000 7.2188
Mg Pm
12 1
Cartesian
6.0001 4.6895 4.6895
4.5000 3.6094 0.0000
9.0001 5.6874 5.6874
3.0000 1.5314 1.5314
4.5000 0.0000 3.6094
3.0000 2.5293 4.6895
6.0001 2.5293 2.5293
1.5000 0.0000 3.6094
6.0001 5.6874 1.5314
3.0000 4.6895 2.5293
1.5000 3.6094 0.0000
6.0001 1.5314 5.6874
0.0000 0.0000 0.0000
```

## Properties
magnetic moment: 0.0 μB per cell
formation energy from the elements: -0.040 eV per atom



What is the magnetic moment in the sixth record?
0.0 μB per cell